No. 1
Entry from the Alexandria database: TaReTc2 after structural relaxation (PBE).

Output
Space-group type: Cm (8)
Distance to the lowest polymorph of the same formula: 0.118 eV per atom
E: -11.2168 eV per atom
Formation energy from the elements: 41 meV/atom
N(E_F): 0.82 states/eV per atom

a = 4.9297 Å, b = 4.9297 Å, c = 4.7283 Å
α = 101.48°, β = 101.48°, γ = 33.86°
Sites, in units of the cell vectors:
Ta 0.0000 0.0000 0.0000
Re 0.2360 0.2360 0.7243
Tc 0.4978 0.4978 0.4986
Tc 0.7619 0.7619 0.2525


No. 2
Entry from the Alexandria database: ReAgAs2S after structural relaxation (PBE).

Output
Space-group type: P4/mmm (123)
E: -4.3183 eV per atom
Raw formation energy: 1426.8 meV/atom
N(E_F): 0.67 states/eV per atom

a = 4.8331 Å, b = 4.8331 Å, c = 4.5509 Å
α = 90.00°, β = 90.00°, γ = 90.00°
Sites, in units of the cell vectors:
Re 0.0000 0.0000 0.0000
Ag 0.5000 0.5000 0.0000
As 0.0000 0.5000 0.5000
As 0.5000 0.0000 0.5000
S 0.5000 0.5000 0.5000


No. 3
Entry from the Alexandria database: K2MgH12Se2O14 after structural relaxation (PBE).

Output
Space-group type: P2_1/c (14)
E: -5.1126 eV per atom
N(E_F): 0.00 states/eV per atom

a = 6.3680 Å, b = 12.5958 Å, c = 9.3028 Å
α = 90.00°, β = 103.54°, γ = 90.00°
Sites, in units of the cell vectors:
K 0.1643 0.1601 0.3618
K 0.1643 0.3399 0.8618
K 0.8357 0.6601 0.1382
K 0.8357 0.8399 0.6382
Mg 0.5000 0.0000 0.0000
Mg 0.5000 0.5000 0.5000
H 0.1659 0.6385 0.4760
H 0.1659 0.8615 0.9760
H 0.1682 0.5592 0.6102
H 0.1682 0.9408 0.1102
H 0.1795 0.0830 0.7847
H 0.1795 0.4170 0.2847
H 0.4022 0.1225 0.7521
H 0.4022 0.3775 0.2521
H 0.4222 0.6022 0.2366
H 0.4222 0.8978 0.7366
H 0.4970 0.1891 0.1397
H 0.4970 0.3109 0.6397
H 0.5030 0.6891 0.3603
H 0.5030 0.8109 0.8603
H 0.5778 0.1022 0.2634
H 0.5778 0.3978 0.7634
H 0.5978 0.6225 0.7479
H 0.5978 0.8775 0.2479
H 0.8205 0.5830 0.7153
H 0.8205 0.9170 0.2153
H 0.8318 0.0592 0.8898
H 0.8318 0.4408 0.3898
H 0.8341 0.1385 0.0240
H 0.8341 0.3615 0.5240
Se 0.2240 0.6391 0.9125
Se 0.2240 0.8609 0.4125
Se 0.7760 0.1391 0.5875
Se 0.7760 0.3609 0.0875
O 0.0613 0.7452 0.9019
O 0.0613 0.7548 0.4019
O 0.1058 0.5537 0.7790
O 0.1058 0.9463 0.2790
O 0.2162 0.5674 0.5166
O 0.2162 0.9326 0.0166
O 0.2428 0.5800 0.0756
O 0.2428 0.9200 0.5756
O 0.3294 0.1052 0.8324
O 0.3294 0.3948 0.3324
O 0.4697 0.6753 0.8912
O 0.4697 0.8247 0.3912
O 0.4732 0.1141 0.1662
O 0.4732 0.3859 0.6662
O 0.5268 0.6141 0.3338
O 0.5268 0.8859 0.8338
O 0.5303 0.1753 0.6088
O 0.5303 0.3247 0.1088
O 0.6706 0.6052 0.6676
O 0.6706 0.8948 0.1676
O 0.7572 0.0800 0.4244
O 0.7572 0.4200 0.9244
O 0.7838 0.0674 0.9834
O 0.7838 0.4326 0.4834
O 0.8942 0.0537 0.7210
O 0.8942 0.4463 0.2210
O 0.9387 0.2452 0.5981
O 0.9387 0.2548 0.0981